A plane-wave DFT calculation with PBE-GGA was carried out for an optimized crystal structure of CaTmBe2Si2.

## Properties
DOS(E_F) = 0.492 states/eV/atom
Formation energy (no corrections) = -492.9 meV/atom
Space group = P-3m1
Electronic total energy = -4.62 eV/atom

a = 3.883 Å, b = 3.883 Å, c = 8.220 Å
α = 90.00°, β = 90.00°, γ = 120.00°
Fractional positions:
Ca  0.000  0.000  0.000
Tm  0.000  0.000  0.500
Be  0.333  0.667  0.731
Be  0.667  0.333  0.269
Si  0.333  0.667  0.264
Si  0.667  0.333  0.736